Below is a relaxed structure of U4S5, with properties calculated at the PBE-GGA level.

It has space group I4/mmm (No. 139), with a = 10.416 Å, b = 10.416 Å, c = 3.510 Å, α = 90.00°, β = 90.00° and γ = 90.00°. The distinct sites, in fractional coordinates, are U at (0.164, 0.164, 0.000), S at (0.000, 0.000, 0.500) and S at (0.000, 0.297, 0.500).

For the electronic total energy, the calculation gives -8.145 eV/atom. For the density of states at the Fermi level, the calculation gives 13.75 states/eV/f.u. The calculation puts the total moment at 12.0 μB/f.u.